# 1
Material: Tm3ZnSn
Method: DFT, GGA-PBE
State: optimized geometry

POSCAR file:
```
Tm3ZnSn
1.0
5.8769 0.0000 0.0000
0.0000 8.2444 0.0000
0.0000 0.0000 10.6140
Tm Zn Sn
12 4 4
Cartesian
5.7815 1.1381 1.0479 Tm
3.0339 5.2603 6.3549 Tm
3.0339 5.2603 9.5661 Tm
0.0954 7.1064 6.3549 Tm
0.0954 7.1064 9.5661 Tm
2.8431 2.9842 4.2591 Tm
2.8431 2.9842 1.0479 Tm
5.7815 1.1381 4.2591 Tm
1.6603 1.7534 7.9605 Tm
1.2781 5.8756 2.6535 Tm
4.2166 6.4911 2.6535 Tm
4.5988 2.3689 7.9605 Tm
0.5425 4.6839 7.9605 Zn
2.3960 0.5617 2.6535 Zn
5.3345 3.5605 2.6535 Zn
3.4809 7.6827 7.9605 Zn
0.0000 4.1222 0.0000 Sn
2.9385 0.0000 5.3070 Sn
2.9385 0.0000 0.0000 Sn
0.0000 4.1222 5.3070 Sn
```

Calculated values
The formation energy is -0.2056 eV/atom. Its space group is Pnma, No. 62. The electronic total energy comes out at -3.944 eV/atom. The total magnetic moment is 0.000 μB per formula unit. Its volume is 128.6 Å³/f.u.

=====

# 2
Material: Pm2AlNi4P3
Method: DFT, GGA-PBE
State: optimized geometry

POSCAR file:
```
Pm2AlNi4P3
1.0
-1.5566 3.5593 0.6367
-0.3332 -0.8315 3.8333
8.9151 3.6198 1.5602
Pm Al Ni P
2 1 4 3
Cartesian
1.3644 2.6496 0.6934 Pm
6.6058 2.3340 3.1019 Pm
3.5126 3.1738 3.0151 Al
-0.9449 1.3639 2.2350 Ni
0.0000 0.0000 0.0000 Ni
4.8717 4.0737 1.3071 Ni
3.0985 0.9100 2.4881 Ni
4.4575 1.8099 0.7801 P
6.9775 4.9287 1.6757 P
0.9926 0.0549 2.1195 P
```

Calculated values
The formation energy is -0.9506 eV/atom. Its space group is P-4m2, No. 115. The electronic total energy comes out at -6.210 eV/atom. The total magnetic moment is 0.000 μB per formula unit. Its volume is 151.1 Å³/f.u.

=====

# 3
Material: SrPmAs2O8
Method: DFT, GGA-PBE
State: optimized geometry

POSCAR file:
```
SrPmAs2O8
1.0
5.2247 0.0000 0.0000
0.0000 5.2247 0.0000
-2.6124 -2.6124 5.9705
Sr Pm As O
1 1 2 8
Cartesian
0.0000 0.0000 0.0000 Sr
2.6124 0.0000 2.9853 Pm
2.6124 2.6124 0.0000 As
0.0000 2.6124 2.9853 As
3.2477 3.9037 0.9567 O
1.9770 1.3210 0.9567 O
1.2918 1.8781 3.8632 O
-1.2918 3.3467 3.8632 O
-0.7343 1.3206 2.1073 O
0.7343 3.9041 2.1073 O
-1.2914 0.6353 5.0138 O
1.2914 -0.6353 5.0138 O
```

Calculated values
Its space group is I-4, No. 82. The electronic total energy comes out at -6.640 eV/atom. The total magnetic moment is 1.101 μB per formula unit. Its volume is 163.0 Å³/f.u. The calculation puts the uncorrected formation energy at -46.7 kcal/mol of atoms.

=====

# 4
Material: CsVZn
Method: DFT, GGA-PBE
State: optimized geometry

POSCAR file:
```
CsVZn
1.0
12.8453 -0.0098 0.3798
0.0081 4.2774 -0.0060
-0.5266 2.1449 3.6009
Cs Zn V
2 2 2
Cartesian
11.4340 2.0814 2.4292 Cs
3.5201 4.2406 2.4721 Cs
8.9877 4.2251 0.8377 Zn
6.5013 4.2291 0.4552 Zn
7.3890 4.2312 3.1252 V
7.5649 2.0905 1.7757 V
```

Calculated values
The formation energy is 0.4103 eV/atom. Its space group is P-1, No. 2. The electronic total energy comes out at -3.338 eV/atom. The total magnetic moment is 0.000 μB per formula unit. Its volume is 99.4 Å³/f.u.

=====

# 5
Material: BaCdIr
Method: DFT, GGA-PBE
State: optimized geometry

POSCAR file:
```
BaCdIr
1.0
6.2819 -0.1340 0.1450
5.2528 3.4476 0.1471
1.0290 0.2934 3.5695
Ir Ba Cd
1 1 1
Cartesian
8.4285 2.4205 1.2611 Ir
1.1123 0.3175 3.5437 Ba
4.0519 1.1624 2.6264 Cd
```

Calculated values
The formation energy is 0.1486 eV/atom. Its space group is I4mm, No. 107. The electronic total energy comes out at -3.751 eV/atom. The total magnetic moment is 0.371 μB per formula unit. Its volume is 79.2 Å³/f.u.

=====

# 6
Material: Pr2Dy5Sc2
Method: DFT, GGA-PBE
State: optimized geometry

POSCAR file:
```
Pr2Dy5Sc2
1.0
-2.7180 1.3099 -3.9349
-6.0655 -4.2321 2.7808
0.8114 6.2770 4.6533
Pr Dy Sc
2 5 2
Cartesian
-3.8188 4.6678 1.0675 Pr
-4.1532 -1.3130 2.4317 Pr
-1.5581 2.9258 -1.0740 Dy
-6.4140 0.4290 4.5732 Dy
-5.7050 1.7267 1.3913 Dy
-2.2671 1.6281 2.1079 Dy
0.0000 0.0000 0.0000 Dy
-3.4550 0.0179 -0.7318 Sc
-4.5171 3.3369 4.2310 Sc
```

Calculated values
The formation energy is 0.0440 eV/atom. Its space group is C2/m, No. 12. The electronic total energy comes out at -4.982 eV/atom. The total magnetic moment is 0.000 μB per formula unit. Its volume is 277.2 Å³/f.u.

=====

# 7
Material: KAlHgI2
Method: DFT, GGA-PBE
State: optimized geometry

POSCAR file:
```
KAlHgI2
1.0
-1.0584 5.3090 2.8898
-3.2249 1.9854 -4.8286
-4.3399 -1.9961 2.0777
I K Hg Al
2 1 1 1
Cartesian
-1.6124 0.9927 -2.4143 I
-0.5292 2.6545 1.4449 I
-4.3116 2.6492 0.0695 K
-2.1700 -0.9981 1.0389 Hg
0.0000 0.0000 0.0000 Al
```

Calculated values
Its space group is P4/mmm, No. 123. The electronic total energy comes out at -2.261 eV/atom. The total magnetic moment is 0.000 μB per formula unit. Its volume is 196.2 Å³/f.u. The calculation puts the uncorrected formation energy at -14.1 kcal/mol of atoms.

=====

# 8
Material: Dy7TlIn5
Method: DFT, GGA-PBE
State: optimized geometry

POSCAR file:
```
Dy7TlIn5
1.0
6.5699 0.0000 0.0000
3.2849 7.5295 0.1143
3.2849 0.0900 7.5299
Dy Tl In
7 1 5
Cartesian
6.5699 2.8206 2.8297 Dy
6.5699 5.4599 5.4775 Dy
3.2849 2.4515 5.0885 Dy
3.2849 5.0806 2.4679 Dy
3.2849 1.7293 1.7349 Dy
6.5699 6.0759 1.3157 Dy
6.5699 1.2961 6.0801 Dy
6.5699 0.1876 0.1882 Tl
8.2784 7.5705 3.7564 In
11.4312 7.5705 3.7564 In
8.2784 3.7319 7.5826 In
11.4312 3.7319 7.5826 In
9.8548 5.6307 5.6489 In
```

Calculated values
The formation energy is -0.2424 eV/atom. Its space group is Imm2, No. 44. The electronic total energy comes out at -3.956 eV/atom. The total magnetic moment is 0.000 μB per formula unit. Its volume is 372.4 Å³/f.u.